GGA+U MnInCuF6, relaxed; calculated density = 4.585 g/cm3; E = -4.99 eV/atom
1.0
5.640 0.000 0.000
-2.820 4.884 0.000
0.000 0.000 9.133
Mn In Cu F
2 2 2 12
direct
0.333 0.667 0.250 Mn
0.667 0.333 0.750 Mn
0.333 0.667 0.750 In
0.667 0.333 0.250 In
0.000 0.000 0.000 Cu
0.000 0.000 0.500 Cu
0.003 0.347 0.630 F
0.003 0.656 0.870 F
0.344 0.347 0.870 F
0.344 0.997 0.630 F
0.347 0.003 0.130 F
0.347 0.344 0.370 F
0.653 0.656 0.630 F
0.653 0.997 0.870 F
0.656 0.003 0.370 F
0.656 0.653 0.130 F
0.997 0.344 0.130 F
0.997 0.653 0.370 F